No. 1
RbVCr2: optimized geometry, PBE.

Cell lengths 4.9726, 4.9726, 4.9726 Å; angles 60.00, 60.00, 60.00 degrees
Fractional coordinates of all 4 atoms:
Rb 0.0000 0.0000 0.0000
V 0.5000 0.5000 0.5000
Cr 0.2500 0.2500 0.2500
Cr 0.7500 0.7500 0.7500

For the raw total energy, the calculation gives -5.7354 eV/atom. The calculated volume comes out at 87 Å³/cell. Its distance to the lowest polymorph of the same formula is 36.9 meV/atom. As for the formation energy: 1.60 eV/atom.


No. 2
RbV3Cr: optimized geometry, PBE.

Cell lengths 4.7929, 4.7929, 4.7929 Å; angles 90.00, 90.00, 90.00 degrees
Fractional coordinates of all 5 atoms:
Rb 0.0000 0.0000 0.0000
V 0.0000 0.5000 0.5000
V 0.5000 0.0000 0.5000
V 0.5000 0.5000 0.0000
Cr 0.5000 0.5000 0.5000

For the raw total energy, the calculation gives -6.1994 eV/atom. The calculated volume comes out at 110 Å³/cell. Its distance to the lowest polymorph of the same formula is 0.0 meV/atom. As for the formation energy: 1.39 eV/atom.


No. 3
RbVCr2: optimized geometry, PBE.

Cell lengths 8.3276, 8.3276, 8.3276 Å; angles 139.04, 139.04, 59.31 degrees
Fractional coordinates of all 8 atoms:
Rb 0.0000 0.0000 0.0000
Rb 0.7500 0.2500 0.5000
V 0.2500 0.7500 0.5000
V 0.5000 0.5000 0.0000
Cr 0.3722 0.1250 0.7472
Cr 0.3750 0.6278 0.7528
Cr 0.3778 0.6250 0.2528
Cr 0.8750 0.6222 0.2472

For the raw total energy, the calculation gives -5.7723 eV/atom. The calculated volume comes out at 246 Å³/cell. Its distance to the lowest polymorph of the same formula is 0.0 meV/atom. As for the formation energy: 1.56 eV/atom.


No. 4
Rb2CrW: optimized geometry, PBE.

Cell lengths 6.2040, 6.2040, 6.2040 Å; angles 60.00, 60.00, 60.00 degrees
Fractional coordinates of all 4 atoms:
Rb 0.2500 0.2500 0.2500
Rb 0.7500 0.7500 0.7500
Cr 0.0000 0.0000 0.0000
W 0.5000 0.5000 0.5000

For the raw total energy, the calculation gives -3.9432 eV/atom. The calculated volume comes out at 169 Å³/cell. Its distance to the lowest polymorph of the same formula is 352.2 meV/atom. As for the formation energy: 2.18 eV/atom.


No. 5
RbCr2W: optimized geometry, PBE.

Cell lengths 4.5728, 4.5728, 4.5728 Å; angles 60.00, 60.00, 60.00 degrees
Fractional coordinates of all 4 atoms:
Rb 0.0000 0.0000 0.0000
Cr 0.2500 0.2500 0.2500
Cr 0.7500 0.7500 0.7500
W 0.5000 0.5000 0.5000

For the raw total energy, the calculation gives -6.2383 eV/atom. The calculated volume comes out at 68 Å³/cell. Its distance to the lowest polymorph of the same formula is 296.4 meV/atom. As for the formation energy: 2.05 eV/atom.


No. 6
RbCr2W: optimized geometry, PBE.

Cell lengths 8.6792, 8.6792, 8.6792 Å; angles 140.89, 140.89, 56.50 degrees
Fractional coordinates of all 8 atoms:
Rb 0.3750 0.6250 0.7500
Rb 0.6250 0.3750 0.2500
Cr 0.0000 0.0000 0.0000
Cr 0.0000 0.0000 0.5000
Cr 0.0000 0.5000 0.0000
Cr 0.5000 0.0000 0.5000
W 0.1250 0.8750 0.2500
W 0.8750 0.1250 0.7500

For the raw total energy, the calculation gives -6.5347 eV/atom. The calculated volume comes out at 258 Å³/cell. Its distance to the lowest polymorph of the same formula is 0.0 meV/atom. As for the formation energy: 1.76 eV/atom.


No. 7
Rb2CrW: optimized geometry, PBE.

Cell lengths 9.7712, 9.7712, 9.7712 Å; angles 92.83, 92.83, 154.33 degrees
Fractional coordinates of all 8 atoms:
Rb 0.3750 0.1831 0.3081
Rb 0.8169 0.1250 0.1919
Rb 0.8750 0.0669 0.6919
Rb 0.9331 0.6250 0.8081
Cr 0.0000 0.0000 0.0000
Cr 0.7500 0.2500 0.5000
W 0.2500 0.7500 0.5000
W 0.5000 0.5000 0.0000

For the raw total energy, the calculation gives -4.2955 eV/atom. The calculated volume comes out at 394 Å³/cell. Its distance to the lowest polymorph of the same formula is 0.0 meV/atom. As for the formation energy: 1.83 eV/atom.


No. 8
Rb3CrW: optimized geometry, PBE.

Cell lengths 6.8015, 6.8015, 6.8015 Å; angles 90.00, 90.00, 90.00 degrees
Fractional coordinates of all 5 atoms:
Rb 0.0000 0.0000 0.5000
Rb 0.0000 0.5000 0.0000
Rb 0.5000 0.0000 0.0000
Cr 0.0000 0.0000 0.0000
W 0.5000 0.5000 0.5000

For the raw total energy, the calculation gives -3.1540 eV/atom. The calculated volume comes out at 315 Å³/cell. As for the formation energy: 1.94 eV/atom.


No. 9
RbYCr3: optimized geometry, PBE.

Cell lengths 5.8255, 5.8255, 5.8255 Å; angles 90.00, 90.00, 90.00 degrees
Fractional coordinates of all 5 atoms:
Rb 0.0000 0.0000 0.0000
Y 0.5000 0.5000 0.5000
Cr 0.0000 0.5000 0.5000
Cr 0.5000 0.0000 0.5000
Cr 0.5000 0.5000 0.0000

For the raw total energy, the calculation gives -5.5125 eV/atom. The calculated volume comes out at 198 Å³/cell. Its distance to the lowest polymorph of the same formula is 0.0 meV/atom. As for the formation energy: 1.75 eV/atom.


No. 10
RbY2Cr2: optimized geometry, PBE.

Cell lengths 6.0038, 6.0038, 6.0038 Å; angles 123.64, 123.64, 83.81 degrees
Fractional coordinates of all 5 atoms:
Rb 0.0000 0.0000 0.0000
Y 0.2500 0.7500 0.5000
Y 0.7500 0.2500 0.5000
Cr 0.3997 0.3997 0.0000
Cr 0.6003 0.6003 0.0000

For the raw total energy, the calculation gives -5.5703 eV/atom. The calculated volume comes out at 144 Å³/cell. Its distance to the lowest polymorph of the same formula is 220.8 meV/atom. As for the formation energy: 1.06 eV/atom.


No. 11
RbY2Cr2: optimized geometry, PBE.

Cell lengths 8.7753, 8.7753, 3.4633 Å; angles 90.00, 90.00, 90.00 degrees
Fractional coordinates of all 10 atoms:
Rb 0.0000 0.0000 0.0000
Rb 0.5000 0.5000 0.0000
Y 0.1901 0.3099 0.5000
Y 0.3099 0.8099 0.5000
Y 0.6901 0.1901 0.5000
Y 0.8099 0.6901 0.5000
Cr 0.0751 0.5751 0.0000
Cr 0.4249 0.0751 0.0000
Cr 0.5751 0.9249 0.0000
Cr 0.9249 0.4249 0.0000

For the raw total energy, the calculation gives -5.7911 eV/atom. The calculated volume comes out at 267 Å³/cell. Its distance to the lowest polymorph of the same formula is 0.0 meV/atom. As for the formation energy: 0.84 eV/atom.


No. 12
Rb3YCr: optimized geometry, PBE.

Cell lengths 6.8850, 6.8850, 6.8850 Å; angles 90.00, 90.00, 90.00 degrees
Fractional coordinates of all 5 atoms:
Rb 0.0000 0.0000 0.5000
Rb 0.0000 0.5000 0.0000
Rb 0.5000 0.0000 0.0000
Y 0.5000 0.5000 0.5000
Cr 0.0000 0.0000 0.0000

For the raw total energy, the calculation gives -2.6499 eV/atom. The calculated volume comes out at 326 Å³/cell. As for the formation energy: 1.15 eV/atom.


No. 13
Rb2YCr: optimized geometry, PBE.

Cell lengths 9.5234, 9.5234, 9.5234 Å; angles 95.51, 95.51, 143.89 degrees
Fractional coordinates of all 8 atoms:
Rb 0.0016 0.6250 0.8766
Rb 0.3750 0.2516 0.3766
Rb 0.7484 0.1250 0.1234
Rb 0.8750 0.9984 0.6234
Y 0.2500 0.7500 0.5000
Y 0.5000 0.5000 0.0000
Cr 0.0000 0.0000 0.0000
Cr 0.7500 0.2500 0.5000

For the raw total energy, the calculation gives -3.3963 eV/atom. The calculated volume comes out at 484 Å³/cell. As for the formation energy: 1.11 eV/atom.


No. 14
RbYCr3: optimized geometry, PBE.

Cell lengths 4.9536, 4.9536, 4.9536 Å; angles 90.00, 90.00, 90.00 degrees
Fractional coordinates of all 5 atoms:
Rb 0.0000 0.0000 0.0000
Y 0.5000 0.5000 0.5000
Cr 0.0000 0.0000 0.5000
Cr 0.0000 0.5000 0.0000
Cr 0.5000 0.0000 0.0000

For the raw total energy, the calculation gives -5.1094 eV/atom. The calculated volume comes out at 122 Å³/cell. Its distance to the lowest polymorph of the same formula is 403.1 meV/atom. As for the formation energy: 2.15 eV/atom.